Entry 1:
This record from Alexandria via LeMat-Bulk describes a relaxed Mn2MoAu crystal. The functional is GGA-PBEsol.

Calculated values
Electronic total energy (eV/atom): -8.44

Cell: 2.8164 2.8164 8.5931 Å, 80.57 80.57 60.00°
Last column: magnetic moment on the atom in μB.
Sites, in units of the cell vectors:
Mn 0.2457 0.2457 0.2629  2.78
Mn 0.7543 0.7543 0.7371  2.78
Mo 0.5000 0.5000 0.5000  -0.50
Au 0.0000 0.0000 0.0000  0.07

---

Entry 2:
This record from Alexandria via LeMat-Bulk describes a relaxed Sc2HgS2 crystal. The functional is GGA-PBEsol.

Calculated values
Formation energy from raw total energies (eV/atom): -1.126
Electronic total energy (eV/atom): -5.64

Cell: 4.3967 4.3967 6.5201 Å, 109.70 109.70 90.00°
Sites, in units of the cell vectors:
Sc 0.6445 0.6445 0.2890
Sc 0.3555 0.3555 0.7110
Hg 0.0000 0.0000 0.0000
S 0.7500 0.2500 0.5000
S 0.2500 0.7500 0.5000

---

Entry 3:
This record from Alexandria via LeMat-Bulk describes a relaxed LiMgZr2 crystal. The functional is GGA-PBEsol.

Calculated values
Electronic total energy (eV/atom): -5.30

Cell: 2.9152 2.9152 11.0564 Å, 90.00 90.00 116.26°
Sites, in units of the cell vectors:
Mg 0.5000 0.5000 0.0000
Zr 0.0000 0.0000 0.2467
Zr 0.0000 0.0000 0.7533
Li 0.5000 0.5000 0.5000

---

Entry 4:
This record from Alexandria via LeMat-Bulk describes a relaxed TaTlO3 crystal. The functional is GGA-PBEsol.

Calculated values
Formation energy from raw total energies (eV/atom): -2.188
Electronic total energy (eV/atom): -8.37

Cell: 4.0360 4.0360 4.0360 Å, 90.00 90.00 90.00°
Sites, in units of the cell vectors:
O 0.0000 0.5000 0.0000
O 0.0000 0.0000 0.5000
O 0.5000 0.0000 0.0000
Ta 0.0000 0.0000 0.0000
Tl 0.5000 0.5000 0.5000

---

Entry 5:
This record from Alexandria via LeMat-Bulk describes a relaxed BaAgCl3 crystal. The functional is GGA-PBEsol.

Calculated values
Formation energy from raw total energies (eV/atom): -1.487
Electronic total energy (eV/atom): -3.78

Cell: 5.1049 5.1049 5.1049 Å, 90.00 90.00 90.00°
Sites, in units of the cell vectors:
Ba 0.5000 0.5000 0.5000
Cl 0.5000 0.0000 0.0000
Cl 0.0000 0.5000 0.0000
Cl 0.0000 0.0000 0.5000
Ag 0.0000 0.0000 0.0000

---

Entry 6:
This record from Alexandria via LeMat-Bulk describes a relaxed Ru3Rh crystal. The functional is GGA-PBEsol.

Calculated values
Electronic total energy (eV/atom): -9.59

Cell: 2.6577 3.7735 5.3233 Å, 90.00 90.00 90.00°
Sites, in units of the cell vectors:
Ru 0.5000 0.5000 0.7462
Ru 0.5000 0.5000 0.2538
Ru 0.0000 0.0000 0.5000
Rh 0.0000 0.0000 0.0000

---

Entry 7:
This record from Alexandria via LeMat-Bulk describes a relaxed BaB3Rh crystal. The functional is GGA-PBEsol.

Calculated values
Offset from the most stable computed form (eV/atom): 2.810
Electronic total energy (eV/atom): -2.96

Cell: 4.4149 4.4149 4.4149 Å, 90.00 90.00 90.00°
Sites, in units of the cell vectors:
Rh 0.5000 0.5000 0.5000
B 0.5000 0.0000 0.0000
B 0.0000 0.0000 0.5000
B 0.0000 0.5000 0.0000
Ba 0.0000 0.0000 0.0000

---

Entry 8:
This record from Alexandria via LeMat-Bulk describes a relaxed LaHg2 crystal. The functional is GGA-PBEsol.

Calculated values
Electronic total energy (eV/atom): -2.64

Cell: 4.5509 6.3691 6.7309 Å, 118.20 109.74 90.00°
Sites, in units of the cell vectors:
La 0.1717 0.1712 0.3439
La 0.8283 0.8288 0.6561
Hg 0.1316 0.6304 0.2631
Hg 0.5004 0.7502 0.0008
Hg 0.8684 0.3696 0.7369
Hg 0.4996 0.2498 0.9992